Record 1
PBE Dy2NiIr, relaxed; formation energy from the elements = -0.63 eV per atom; polymorph energy (0 for the lowest one) = 50 meV/atom
1.0
4.7783 0.0000 0.0000
0.0000 4.7783 0.0000
0.0000 0.0000 3.4639
Dy Ni Ir
2 1 1
Direct
0.0000 0.5000 0.0000
0.5000 0.0000 0.0000
0.0000 0.0000 0.5000
0.5000 0.5000 0.5000

Record 2
PBE MgCdSn, relaxed; formation energy from the elements = -0.04 eV per atom
1.0
5.3828 0.0000 0.0000
0.0000 3.2806 0.0000
-0.2017 0.0000 8.1078
Mg Cd Sn
2 2 2
Direct
0.1913 0.0000 0.3187
0.8087 0.0000 0.6813
0.0000 0.5000 0.0000
0.5000 0.0000 0.0000
0.3036 0.5000 0.6549
0.6964 0.5000 0.3451

Record 3
PBE NdPuAgOs, relaxed; formation energy from the elements = 0.05 eV per atom
1.0
0.0000 3.5611 3.5611
3.5611 0.0000 3.5611
3.5611 3.5611 0.0000
Nd Pu Ag Os
1 1 1 1
Direct
0.0000 0.0000 0.0000
0.5000 0.5000 0.5000
0.7500 0.7500 0.7500
0.2500 0.2500 0.2500

Record 4
PBE LaSbAs2Br, relaxed; E_form (uncorrected) = -0.179 eV/atom; polymorph energy (0 for the lowest one) = 0 meV/atom
1.0
5.3082 0.0000 0.0000
0.0000 5.3082 0.0000
0.0000 0.0000 5.3326
La Sb As Br
1 1 2 1
Direct
0.0000 0.0000 0.0000
0.5000 0.5000 0.5000
0.0000 0.5000 0.5000
0.5000 0.0000 0.5000
0.5000 0.5000 0.0000

Record 5
PBE Na4SnH, relaxed; electronic total energy = -2.1982 eV/atom
1.0
6.0889 0.0000 0.0000
-1.6209 7.4303 0.0000
-0.9302 -3.2609 7.1434
Na Sn H
8 2 2
Direct
0.1298 0.1762 0.4308
0.1554 0.5839 0.3203
0.2573 0.9006 0.0626
0.2852 0.3021 0.8874
0.7148 0.6979 0.1126
0.7427 0.0994 0.9374
0.8446 0.4161 0.6797
0.8702 0.8238 0.5692
0.4413 0.6250 0.7082
0.5587 0.3750 0.2918
0.0646 0.8506 0.2970
0.9354 0.1494 0.7030

Record 6
PBE YTm5Al3, relaxed; formation energy from the elements = -0.28 eV per atom
1.0
8.9677 0.0000 0.0000
-4.4839 7.7663 0.0000
0.0000 0.0000 6.5768
Y Tm Al
2 10 6
Direct
0.0000 0.0000 0.0000
0.0000 0.0000 0.5000
0.0000 0.3352 0.2500
0.0000 0.6648 0.7500
0.3333 0.6667 0.0000
0.3333 0.6667 0.5000
0.3352 0.0000 0.2500
0.3352 0.3352 0.7500
0.6648 0.0000 0.7500
0.6648 0.6648 0.2500
0.6667 0.3333 0.0000
0.6667 0.3333 0.5000
0.0000 0.3330 0.7500
0.0000 0.6670 0.2500
0.3330 0.0000 0.7500
0.3330 0.3330 0.2500
0.6670 0.0000 0.2500
0.6670 0.6670 0.7500

Record 7
PBE Cr2MoPt, relaxed; formation energy from the elements = 0.16 eV per atom
1.0
1.3774 0.7952 8.5369
-1.3774 0.7952 8.5369
0.0000 -1.5905 8.5369
Cr Mo Pt
2 1 1
Direct
0.0000 0.0000 0.0000
0.2663 0.2663 0.2663
0.5125 0.5125 0.5125
0.7536 0.7536 0.7536

Record 8
PBE Rb2CaHg2, relaxed; formation energy from the elements = -0.17 eV per atom; polymorph energy (0 for the lowest one) = 0 meV/atom
1.0
8.4175 0.0000 0.0000
0.0000 8.4175 0.0000
0.0000 0.0000 5.9920
Rb Ca Hg
4 2 4
Direct
0.1712 0.3288 0.0000
0.3288 0.8288 0.0000
0.6712 0.1712 0.0000
0.8288 0.6712 0.0000
0.0000 0.0000 0.5000
0.5000 0.5000 0.5000
0.1309 0.6309 0.5000
0.3691 0.1309 0.5000
0.6309 0.8691 0.5000
0.8691 0.3691 0.5000

Number 1: DOS at the Fermi energy 2.36 states/eV/cell, V 79 Å³/cell. Number 2: DOS at the Fermi energy 2.37 states/eV/cell, V 143 Å³/cell. Number 3: DOS at the Fermi energy 10.53 states/eV/cell, V 90 Å³/cell. Number 4: DOS at the Fermi energy 2.76 states/eV/cell, V 150 Å³/cell. Number 5: DOS at the Fermi energy 2.48 states/eV/cell, V 323 Å³/cell. Number 6: DOS at the Fermi energy 16.01 states/eV/cell, V 458 Å³/cell. Number 7: DOS at the Fermi energy 4.02 states/eV/cell, V 56 Å³/cell. Number 8: DOS at the Fermi energy 5.57 states/eV/cell, V 425 Å³/cell.